Entry from Alexandria: crystalline P4Ru at its relaxed geometry (PBE).

Properties
crystal system: triclinic
M_tot: 0.0000 μB per atom
formation energy: -10.304 kcal/mol of atoms
excess energy over the best structure of this formula in the dataset: 0.000 eV/atom
total energy: -6.630 eV per atom

Geometry as CIF:
```
data_P4Ru
_chemical_formula_sum 'P12 Ru3'
_cell_length_a 4.7427
_cell_length_b 7.1992
_cell_length_c 7.5767
_cell_angle_alpha 111.19
_cell_angle_beta 90.38
_cell_angle_gamma 100.41
_space_group_name_H-M_alt 'P -1'
_space_group_IT_number 2
_space_group_name_Hall '-P 1'
loop_
_atom_site_label
_atom_site_fract_x
_atom_site_fract_y
_atom_site_fract_z
_atom_site_occupancy
P1 0.0987 0.3681 0.4007 1
P2 0.1086 0.8310 0.2686 1
P3 0.1592 0.0860 0.9374 1
P4 0.2275 0.5725 0.0485 1
P5 0.2948 0.2961 0.6248 1
P6 0.3222 0.8380 0.7144 1
Ru1 0.4417 0.3732 0.1715 1
Ru2 0.5000 0.0000 0.5000 1
```

***

Entry from Alexandria: crystalline LiGa2Ag2 at its relaxed geometry (PBE).

Properties
crystal system: tetragonal
M_tot: 0.0000 μB per atom
formation energy: -0.498 kcal/mol of atoms
excess energy over the best structure of this formula in the dataset: 0.142 eV/atom
total energy: -2.756 eV per atom

Geometry as CIF:
```
data_LiGa2Ag2
_chemical_formula_sum 'Li2 Ga4 Ag4'
_cell_length_a 3.8032
_cell_length_b 3.8032
_cell_length_c 13.3866
_cell_angle_alpha 90.00
_cell_angle_beta 90.00
_cell_angle_gamma 90.00
_space_group_name_H-M_alt 'I 4/m m m'
_space_group_IT_number 139
_space_group_name_Hall '-I 4 2'
loop_
_atom_site_label
_atom_site_fract_x
_atom_site_fract_y
_atom_site_fract_z
_atom_site_occupancy
Li1 0.0000 0.0000 0.0000 1
Ga1 0.0000 0.5000 0.2500 1
Ag1 0.0000 0.0000 0.3986 1
```

***

Entry from Alexandria: crystalline MgNi3Sb at its relaxed geometry (PBE).

Properties
formation energy without anion corrections: 0.5458 eV/atom
crystal system: cubic
M_tot: 0.0000 μB per atom
excess energy over the best structure of this formula in the dataset: 0.598 eV/atom
total energy: -4.066 eV per atom

Geometry as CIF:
```
data_MgNi3Sb
_chemical_formula_sum 'Mg1 Ni3 Sb1'
_cell_length_a 4.6379
_cell_length_b 4.6379
_cell_length_c 4.6379
_cell_angle_alpha 90.00
_cell_angle_beta 90.00
_cell_angle_gamma 90.00
_space_group_name_H-M_alt 'P m -3 m'
_space_group_IT_number 221
_space_group_name_Hall '-P 4 2 3'
loop_
_atom_site_label
_atom_site_fract_x
_atom_site_fract_y
_atom_site_fract_z
_atom_site_occupancy
Mg1 0.0000 0.0000 0.0000 1
Ni1 0.0000 0.5000 0.5000 1
Sb1 0.5000 0.5000 0.5000 1
```

***

Entry from Alexandria: crystalline ScMn2 at its relaxed geometry (PBE).

Properties
crystal system: tetragonal
M_tot: 0.0010 μB per atom
formation energy: 6.017 kcal/mol of atoms
total energy: -7.963 eV per atom

Geometry as CIF:
```
data_ScMn2
_chemical_formula_sum 'Sc4 Mn8'
_cell_length_a 4.5073
_cell_length_b 4.5073
_cell_length_c 9.1355
_cell_angle_alpha 90.00
_cell_angle_beta 90.00
_cell_angle_gamma 90.00
_space_group_name_H-M_alt 'I 4/m c m'
_space_group_IT_number 140
_space_group_name_Hall '-I 4 2c'
loop_
_atom_site_label
_atom_site_fract_x
_atom_site_fract_y
_atom_site_fract_z
_atom_site_occupancy
Sc1 0.0000 0.0000 0.2500 1
Mn1 0.2005 0.2995 0.0000 1
```

***

Entry from Alexandria: crystalline YPaPt at its relaxed geometry (PBE).

Properties
crystal system: cubic
M_tot: 0.3502 μB per atom
formation energy: -8.477 kcal/mol of atoms
excess energy over the best structure of this formula in the dataset: 0.199 eV/atom
total energy: -7.701 eV per atom

Geometry as CIF:
```
data_YPaPt
_chemical_formula_sum 'Y4 Pa4 Pt4'
_cell_length_a 6.8768
_cell_length_b 6.8768
_cell_length_c 6.8768
_cell_angle_alpha 90.00
_cell_angle_beta 90.00
_cell_angle_gamma 90.00
_space_group_name_H-M_alt 'F -4 3 m'
_space_group_IT_number 216
_space_group_name_Hall 'F -4 2 3'
loop_
_atom_site_label
_atom_site_fract_x
_atom_site_fract_y
_atom_site_fract_z
_atom_site_occupancy
Y1 0.0000 0.0000 0.0000 1
Pa1 0.0000 0.0000 0.5000 1
Pt1 0.2500 0.2500 0.2500 1
```

***

Entry from Alexandria: crystalline VTe2As at its relaxed geometry (PBE).

Properties
formation energy without anion corrections: 0.0737 eV/atom
crystal system: trigonal
M_tot: 0.0000 μB per atom
total energy: -4.939 eV per atom

Geometry as CIF:
```
data_VTe2As
_chemical_formula_sum 'V3 Te6 As3'
_cell_length_a 3.5101
_cell_length_b 3.5101
_cell_length_c 27.6853
_cell_angle_alpha 90.00
_cell_angle_beta 90.00
_cell_angle_gamma 120.00
_space_group_name_H-M_alt 'R -3 m'
_space_group_IT_number 166
_space_group_name_Hall '-R 3 2"'
loop_
_atom_site_label
_atom_site_fract_x
_atom_site_fract_y
_atom_site_fract_z
_atom_site_occupancy
V1 0.0000 0.0000 0.0000 1
Te1 0.0000 0.0000 0.3962 1
As1 0.0000 0.0000 0.5000 1
```

***

Entry from Alexandria: crystalline Fe2Pb at its relaxed geometry (PBE).

Properties
crystal system: cubic
M_tot: 1.7431 μB per atom
formation energy: 25.251 kcal/mol of atoms
total energy: -5.783 eV per atom

Geometry as CIF:
```
data_Fe2Pb
_chemical_formula_sum 'Fe8 Pb4'
_cell_length_a 6.2931
_cell_length_b 6.2931
_cell_length_c 6.2931
_cell_angle_alpha 90.00
_cell_angle_beta 90.00
_cell_angle_gamma 90.00
_space_group_name_H-M_alt 'P a -3'
_space_group_IT_number 205
_space_group_name_Hall '-P 2ac 2ab 3'
loop_
_atom_site_label
_atom_site_fract_x
_atom_site_fract_y
_atom_site_fract_z
_atom_site_occupancy
Fe1 0.1008 0.1008 0.1008 1
Pb1 0.0000 0.0000 0.5000 1
```

***

Entry from Alexandria: crystalline LaMg2Cr at its relaxed geometry (PBE).

Properties
crystal system: cubic
M_tot: 0.0419 μB per atom
formation energy: 14.145 kcal/mol of atoms
total energy: -3.822 eV per atom

Geometry as CIF:
```
data_LaMg2Cr
_chemical_formula_sum 'La4 Mg8 Cr4'
_cell_length_a 7.1223
_cell_length_b 7.1223
_cell_length_c 7.1223
_cell_angle_alpha 90.00
_cell_angle_beta 90.00
_cell_angle_gamma 90.00
_space_group_name_H-M_alt 'F m -3 m'
_space_group_IT_number 225
_space_group_name_Hall '-F 4 2 3'
loop_
_atom_site_label
_atom_site_fract_x
_atom_site_fract_y
_atom_site_fract_z
_atom_site_occupancy
La1 0.0000 0.0000 0.0000 1
Mg1 0.2500 0.2500 0.2500 1
Cr1 0.0000 0.0000 0.5000 1
```

***

Entry from Alexandria: crystalline BaCoSe2 at its relaxed geometry (PBE).

Properties
formation energy without anion corrections: -0.5394 eV/atom
crystal system: orthorhombic
M_tot: 0.6771 μB per atom
total energy: -4.539 eV per atom

Geometry as CIF:
```
data_BaCoSe2
_chemical_formula_sum 'Ba2 Co2 Se4'
_cell_length_a 3.6898
_cell_length_b 4.0064
_cell_length_c 13.9852
_cell_angle_alpha 90.00
_cell_angle_beta 90.00
_cell_angle_gamma 90.00
_space_group_name_H-M_alt 'I m m 2'
_space_group_IT_number 44
_space_group_name_Hall 'I 2 -2'
loop_
_atom_site_label
_atom_site_fract_x
_atom_site_fract_y
_atom_site_fract_z
_atom_site_occupancy
Ba1 0.0000 0.0000 0.0000 1
Co1 0.0000 0.5000 0.7574 1
Se1 0.0000 0.0000 0.3796 1
Se2 0.0000 0.5000 0.1851 1
```

***

Entry from Alexandria: crystalline ReIr2Cl at its relaxed geometry (PBE).

Properties
formation energy without anion corrections: 0.9919 eV/atom
crystal system: orthorhombic
M_tot: 0.0002 μB per atom
excess energy over the best structure of this formula in the dataset: 0.700 eV/atom
total energy: -7.012 eV per atom

Geometry as CIF:
```
data_ReIr2Cl
_chemical_formula_sum 'Re1 Ir2 Cl1'
_cell_length_a 2.7605
_cell_length_b 4.6754
_cell_length_c 4.7176
_cell_angle_alpha 90.00
_cell_angle_beta 90.00
_cell_angle_gamma 90.00
_space_group_name_H-M_alt 'P m m m'
_space_group_IT_number 47
_space_group_name_Hall '-P 2 2'
loop_
_atom_site_label
_atom_site_fract_x
_atom_site_fract_y
_atom_site_fract_z
_atom_site_occupancy
Re1 0.0000 0.0000 0.0000 1
Ir1 0.0000 0.5000 0.5000 1
Ir2 0.5000 0.0000 0.5000 1
Cl1 0.5000 0.5000 0.0000 1
```

***

Entry from Alexandria: crystalline Ba2LiCl at its relaxed geometry (PBE).

Properties
formation energy without anion corrections: -0.5850 eV/atom
crystal system: cubic
M_tot: 0.0000 μB per atom
excess energy over the best structure of this formula in the dataset: 0.255 eV/atom
total energy: -2.486 eV per atom

Geometry as CIF:
```
data_Ba2LiCl
_chemical_formula_sum 'Ba8 Li4 Cl4'
_cell_length_a 8.5899
_cell_length_b 8.5899
_cell_length_c 8.5899
_cell_angle_alpha 90.00
_cell_angle_beta 90.00
_cell_angle_gamma 90.00
_space_group_name_H-M_alt 'F m -3 m'
_space_group_IT_number 225
_space_group_name_Hall '-F 4 2 3'
loop_
_atom_site_label
_atom_site_fract_x
_atom_site_fract_y
_atom_site_fract_z
_atom_site_occupancy
Ba1 0.2500 0.2500 0.2500 1
Li1 0.0000 0.0000 0.0000 1
Cl1 0.0000 0.0000 0.5000 1
```

***

Entry from Alexandria: crystalline V4Ga3H2 at its relaxed geometry (PBE).

Properties
crystal system: monoclinic
M_tot: 0.0000 μB per atom
excess energy over the best structure of this formula in the dataset: 0.000 eV/atom
total energy: -6.009 eV per atom

Geometry as CIF:
```
data_V4Ga3H2
_chemical_formula_sum 'V8 Ga6 H4'
_cell_length_a 9.0947
_cell_length_b 3.3793
_cell_length_c 6.7208
_cell_angle_alpha 90.00
_cell_angle_beta 96.00
_cell_angle_gamma 90.00
_space_group_name_H-M_alt 'C 1 2/m 1'
_space_group_IT_number 12
_space_group_name_Hall '-C 2y'
loop_
_atom_site_label
_atom_site_fract_x
_atom_site_fract_y
_atom_site_fract_z
_atom_site_occupancy
V1 0.1351 0.0000 0.4134 1
V2 0.2086 0.5000 0.1319 1
Ga1 0.0000 0.0000 0.0000 1
Ga2 0.0825 0.5000 0.7211 1
H1 0.2070 0.5000 0.4002 1
```

***

Question: Which value of M_tot does entry 4 give?
Answer: 0.0010 μB per atom